Entry 1:
VASP calculation (PBE) on Pm4Bi2Pd after structural relaxation.

Results
Calculated volume   34.15 A^3/atom
Size of the total moment   0.00 Bohr magnetons per cell
E_form   -0.525 eV/atom

Cell and atoms, written as POSCAR:
```
Pm4Bi2Pd
1.0
-2.654 2.654 8.485
2.654 -2.654 8.485
2.654 2.654 -8.485
Pm Bi Pd
4 2 1
Direct
0.000 0.500 0.500
0.175 0.175 0.000
0.500 0.000 0.500
0.825 0.825 0.000
0.364 0.364 0.000
0.636 0.636 0.000
0.000 0.000 0.000
```


Entry 2:
VASP calculation (PBE) on Ge2TeF after structural relaxation.

Results
Calculated volume   20.05 A^3/atom
Size of the total moment   0.00 Bohr magnetons per cell
E above lowest polymorph   142 meV/atom

Cell and atoms, written as POSCAR:
```
Ge2TeF
1.0
0.000 3.423 3.423
3.423 0.000 3.423
3.423 3.423 0.000
Ge Te F
2 1 1
Direct
0.250 0.250 0.250
0.750 0.750 0.750
0.000 0.000 0.000
0.500 0.500 0.500
```


Entry 3:
VASP calculation (PBE) on LaCdTc after structural relaxation.

Results
Calculated volume   22.40 A^3/atom
Size of the total moment   0.00 Bohr magnetons per cell
E_form   0.356 eV/atom
E above lowest polymorph   411 meV/atom

Cell and atoms, written as POSCAR:
```
LaCdTc
1.0
4.778 0.000 0.000
-2.389 4.138 0.000
0.000 0.000 3.399
La Cd Tc
1 1 1
Direct
0.000 0.000 0.000
0.667 0.333 0.498
0.333 0.667 0.044
```


- Which formula does entry 3 have?
  LaCdTc